Record 1
A plane-wave DFT calculation with GGA-PBE was carried out for a relaxed Na3In2Au2 crystal.

Unit cell a=4.941 b=4.941 c=8.292 alpha=107.47 beta=107.47 gamma=60.25
Positions (direct):
1 Na 0.000 0.000 0.000
2 Na 0.137 0.137 0.409
3 Na 0.863 0.863 0.591
4 In 0.397 0.397 0.190
5 In 0.603 0.603 0.810
6 Au 0.267 0.267 0.805
7 Au 0.733 0.733 0.195

calculated total energy: -2.601 eV per atom
symmetry: C2/m
calculated density: 6.976 g cm⁻³
D(E_F): 3.140 states/eV/cell
energy of formation: -316 meV per atom
total moment: 0.000 μB/cell

=====

Record 2
A plane-wave DFT calculation with GGA-PBE was carried out for a relaxed Ba2NdCd3 crystal.

Unit cell a=9.197 b=9.197 c=8.231 alpha=90.00 beta=90.00 gamma=143.20
Positions (direct):
1 Ba 0.000 0.000 0.000
2 Ba 0.000 0.000 0.500
3 Ba 0.335 0.665 0.000
4 Ba 0.665 0.335 0.000
5 Nd 0.335 0.665 0.500
6 Nd 0.665 0.335 0.500
7 Cd 0.177 0.823 0.286
8 Cd 0.177 0.823 0.714
9 Cd 0.500 0.500 0.271
10 Cd 0.500 0.500 0.729
11 Cd 0.823 0.177 0.286
12 Cd 0.823 0.177 0.714

calculated total energy: -2.181 eV per atom
symmetry: Cmmm
calculated density: 6.022 g cm⁻³
D(E_F): 9.423 states/eV/cell
energy of formation: -288 meV per atom
total moment: 0.000 μB/cell

=====

Record 3
A plane-wave DFT calculation with GGA-PBE was carried out for a relaxed Er3Th2Rh2 crystal.

Unit cell a=6.305 b=6.305 c=9.050 alpha=113.55 beta=113.55 gamma=34.24
Positions (direct):
1 Er 0.000 0.000 0.000
2 Er 0.115 0.115 0.430
3 Er 0.885 0.885 0.570
4 Th 0.330 0.330 0.181
5 Th 0.670 0.670 0.819
6 Rh 0.324 0.324 0.760
7 Rh 0.676 0.676 0.240

calculated total energy: -6.753 eV per atom
symmetry: C2/m
calculated density: 10.582 g cm⁻³
D(E_F): 7.566 states/eV/cell
energy of formation: -577 meV per atom
total moment: 0.000 μB/cell

=====

Record 4
A plane-wave DFT calculation with GGA-PBE was carried out for a relaxed Ac3TeOsCl crystal.

Unit cell a=9.366 b=4.519 c=10.489 alpha=90.00 beta=95.98 gamma=90.00
Positions (direct):
1 Ac 0.089 0.250 0.355
2 Ac 0.178 0.250 0.919
3 Ac 0.350 0.750 0.642
4 Ac 0.650 0.250 0.358
5 Ac 0.822 0.750 0.081
6 Ac 0.911 0.750 0.645
7 Te 0.368 0.750 0.319
8 Te 0.632 0.250 0.681
9 Os 0.132 0.250 0.656
10 Os 0.868 0.750 0.344
11 Cl 0.381 0.750 0.932
12 Cl 0.619 0.250 0.068

calculated total energy: -5.679 eV per atom
formation energy without anion corrections: -922 meV per atom
symmetry: P2_1/m
calculated density: 7.780 g cm⁻³
D(E_F): 5.894 states/eV/cell
total moment: 0.000 μB/cell

=====

Record 5
A plane-wave DFT calculation with GGA-PBE was carried out for a relaxed SrSe2Cl crystal.

Unit cell a=5.351 b=5.351 c=5.351 alpha=60.00 beta=60.00 gamma=60.00
Positions (direct):
1 Sr 0.000 0.000 0.000
2 Se 0.250 0.250 0.250
3 Se 0.750 0.750 0.750
4 Cl 0.500 0.500 0.500

calculated total energy: -3.130 eV per atom
formation energy without anion corrections: -505 meV per atom
symmetry: Fm-3m
calculated density: 4.306 g cm⁻³
D(E_F): 3.498 states/eV/cell
ΔE to the lowest computed polymorph: 3.12 eV per formula unit
total moment: 3.000 μB/cell

=====

Record 6
A plane-wave DFT calculation with GGA-PBE was carried out for a relaxed BeTl2PdPb crystal.

Unit cell a=5.296 b=5.296 c=5.436 alpha=90.00 beta=90.00 gamma=90.00
Positions (direct):
1 Be 0.000 0.000 0.000
2 Tl 0.000 0.500 0.500
3 Tl 0.500 0.000 0.500
4 Pd 0.500 0.500 0.500
5 Pb 0.500 0.500 0.000

calculated total energy: -2.885 eV per atom
symmetry: P4/mmm
calculated density: 7.966 g cm⁻³
D(E_F): 3.607 states/eV/cell
energy of formation: 587 meV per atom
total moment: 0.000 μB/cell